DFT (PBEsol) results for crystalline SiAs2CO at its relaxed geometry.

a = 4.737 Å, b = 4.737 Å, c = 3.431 Å
α = 90.00°, β = 90.00°, γ = 90.00°
Space group P4/mmm (No. 123)
Unique sites:
Si 0.000 0.000 0.000 (multiplicity 1)
As 0.000 0.500 0.000 (multiplicity 2)
C 0.000 0.000 0.500 (multiplicity 1)
O 0.500 0.500 0.500 (multiplicity 1)

Results
Crystal system: tetragonal
Formation energy from raw total energies, eV/atom: 1.25
Size of the total moment, μB/f.u.: 0.00